First-principles (PBEsol) data for crystalline Na3CrTc at its relaxed geometry, as listed in Alexandria.

- Magnetic moment: 1.68 μB per atom
- Calculated formation energy: 9.49 eV per formula unit
- Calculated density: 2.07 Mg/m³
- D(E_F): 6.04 states/eV/f.u.

```
data_Na3CrTc
_symmetry_space_group_name_H-M 'P m -3 m'
_symmetry_Int_Tables_number 221
_symmetry_space_group_name_Hall '-P 4 2 3'
_cell_length_a 5.599
_cell_length_b 5.599
_cell_length_c 5.599
_cell_angle_alpha 90.00
_cell_angle_beta 90.00
_cell_angle_gamma 90.00
loop_
_atom_site_label
_atom_site_fract_x
_atom_site_fract_y
_atom_site_fract_z
Na1 0.000 0.000 0.500
Cr1 0.500 0.500 0.500
Tc1 0.000 0.000 0.000
```

First-principles (PBEsol) data for crystalline CsBF2 at its relaxed geometry, as listed in Alexandria.

- Magnetic moment: 0.00 μB per atom
- Relative energy among the computed polymorphs: 0.3370 eV/atom
- Calculated density: 4.39 Mg/m³
- D(E_F): 0.00 states/eV/f.u.

```
data_CsBF2
_symmetry_space_group_name_H-M 'F m -3 m'
_symmetry_Int_Tables_number 225
_symmetry_space_group_name_Hall '-F 4 2 3'
_cell_length_a 6.501
_cell_length_b 6.501
_cell_length_c 6.501
_cell_angle_alpha 90.00
_cell_angle_beta 90.00
_cell_angle_gamma 90.00
loop_
_atom_site_label
_atom_site_fract_x
_atom_site_fract_y
_atom_site_fract_z
Cs1 0.000 0.000 0.000
B1 0.000 0.000 0.500
F1 0.250 0.250 0.250
```